Density functional theory data (PBE) for a relaxed NdSm3Se3O4 crystal. Values from VASP.

Geometry as Quantum ESPRESSO input:
```
&SYSTEM
  ibrav = 0, nat = 11, ntyp = 4
/
ATOMIC_SPECIES
O 16.00 O.upf
Sm 150.36 Sm.upf
Se 78.96 Se.upf
Nd 144.24 Nd.upf
CELL_PARAMETERS angstrom
8.398 0.000 0.000
0.000 1.981 6.382
0.000 -1.981 6.382
ATOMIC_POSITIONS angstrom
O 0.000 0.000 7.883
O 4.199 0.000 7.506
O 6.232 0.000 1.116
O 2.166 0.000 1.116
Sm 6.185 0.000 8.708
Sm 2.213 0.000 8.708
Sm 4.199 0.000 0.013
Se 7.134 0.000 4.514
Se 4.199 0.000 4.002
Se 1.264 0.000 4.514
Nd 0.000 0.000 0.200
```

Summary:
total DFT energy (no corrections)	-79.727	eV for the cell shown
crystal system	orthorhombic